Record 1
11
Lattice="-3.9179 2.5581 -1.6238 -3.0233 -3.1237 2.3734 4.0073 7.9152 10.3539" Properties=species:S:1:pos:R:3 comment="GGA-PBE Ba2Ca4Sb3H2, optimized geometry" e_tot_ev_per_atom=-3.71 magmom_total_mub_per_atom=0.05 vol_a3_per_atom=29.39 pbc="T T T"
Ba 0.3241 4.6083 6.4778
Ba -3.2579 2.7413 4.6257
Ca -1.0586 4.8809 10.2431
Ca -1.5059 7.7218 8.2444
Ca -1.4280 -0.3721 2.8590
Ca -1.8753 2.4687 0.8604
Sb 0.0000 0.0000 0.0000
Sb 0.1744 2.4807 3.4871
Sb -3.1083 4.8689 7.6164
H 0.4406 6.2661 8.8080
H -3.3745 1.0836 2.2954

---

Record 2
5
Lattice="5.3730 0.0000 0.0000 0.0000 5.3730 0.0000 0.0000 0.0000 5.2916" Properties=species:S:1:pos:R:3 comment="GGA-PBE Ba2CaSbH, optimized geometry" e_tot_ev_per_atom=-3.18 magmom_total_mub_per_atom=0.00 vol_a3_per_atom=30.55 pbc="T T T"
Sb 2.6865 2.6865 2.6458
Ca 0.0000 0.0000 2.6458
Ba 0.0000 2.6865 0.0000
Ba 2.6865 0.0000 0.0000
H 0.0000 0.0000 0.0000